VASP calculation (SCAN) on ErPt3 at its PBEsol-relaxed geometry.

Properties
The space group is Pm-3m (221). The value obtained for the formation energy from the elements is -1.194 eV/atom. As for the crystal system: cubic. The total energy comes out at -66.42 eV/atom. The value obtained for the density of states at the Fermi level is 0.76 states/eV per atom.

Cell: 4.036 4.036 4.036 Å, 90.00 90.00 90.00°
Atoms (fractional coordinates):
Pt1 0.000 0.500 0.500
Pt2 0.500 0.000 0.500
Pt3 0.500 0.500 0.000
Er1 0.000 0.000 0.000

VASP calculation (SCAN) on BaNa2TiI at its PBEsol-relaxed geometry.

Properties
The space group is P4/mmm (123). As for the crystal system: tetragonal. For the uncorrected formation energy, the calculation gives 0.310 eV per atom. The total energy comes out at -19.84 eV/atom. The value obtained for the density of states at the Fermi level is 0.51 states/eV per atom.

Cell: 5.759 5.759 6.446 Å, 90.00 90.00 90.00°
Last column: magnetic moment on the atom in μB.
Atoms (fractional coordinates):
I1 0.500 0.500 0.500  0.06
Na1 0.000 0.500 0.000  0.06
Na2 0.500 0.000 0.000  0.06
Ba1 0.000 0.000 0.500  0.30
Ti1 0.000 0.000 0.000  2.34